1.
First-principles (PBE) data for a relaxed MnCoNi2 crystal, as listed in Alexandria.

Output
E_form = 7.0 kJ/mol of formula units
ρ = 8.36 g/cm3
Space-group type = Cm
DOS at the Fermi energy = 3.9 states/eV per cell

Unit cell a=4.367 b=4.367 c=4.369 alpha=100.34 beta=100.34 gamma=34.16
Element x y z (fractional)
Mn 0.000 0.000 0.000
Co 0.753 0.753 0.279
Ni 0.248 0.248 0.762
Ni 0.500 0.500 0.499

=====

2.
First-principles (PBE) data for a relaxed Tm2Ga2Co5Ge crystal, as listed in Alexandria.

Output
E_form = -261.9 kJ/mol of formula units
ρ = 9.64 g/cm3
Space-group type = P4/mbm
DOS at the Fermi energy = 10.6 states/eV per cell

Unit cell a=9.377 b=9.377 c=3.308 alpha=90.00 beta=90.00 gamma=90.00
Element x y z (fractional)
Tm 0.173 0.327 0.000
Tm 0.327 0.827 0.000
Tm 0.673 0.173 0.000
Tm 0.827 0.673 0.000
Ga 0.125 0.625 0.000
Ga 0.375 0.125 0.000
Ga 0.625 0.875 0.000
Ga 0.875 0.375 0.000
Co 0.000 0.500 0.500
Co 0.062 0.801 0.500
Co 0.199 0.062 0.500
Co 0.301 0.562 0.500
Co 0.438 0.301 0.500
Co 0.500 0.000 0.500
Co 0.562 0.699 0.500
Co 0.699 0.438 0.500
Co 0.801 0.938 0.500
Co 0.938 0.199 0.500
Ge 0.000 0.000 0.000
Ge 0.500 0.500 0.000

=====

3.
First-principles (PBE) data for a relaxed YZnOs2 crystal, as listed in Alexandria.

Output
E_form = 76.2 kJ/mol of formula units
ρ = 12.79 g/cm3
Space-group type = Imm2
DOS at the Fermi energy = 3.4 states/eV per cell

Unit cell a=5.592 b=5.592 c=5.592 alpha=147.97 beta=130.95 gamma=59.79
Element x y z (fractional)
Y 0.000 0.000 0.000
Zn 0.282 0.782 0.500
Os 0.513 0.513 0.000
Os 0.731 0.231 0.500

=====

4.
First-principles (PBE) data for a relaxed UPPd crystal, as listed in Alexandria.

Output
E_form = -121.0 kJ/mol of formula units
ρ = 9.99 g/cm3
Space-group type = F-43m
DOS at the Fermi energy = 7.1 states/eV per cell

Unit cell a=4.452 b=4.452 c=4.452 alpha=60.00 beta=60.00 gamma=60.00
Element x y z (fractional)
U 0.000 0.000 0.000
P 0.750 0.750 0.750
Pd 0.500 0.500 0.500

=====

5.
First-principles (PBE) data for a relaxed LiEr3Tm2S6 crystal, as listed in Alexandria.

Output
ρ = 7.20 g/cm3
Space-group type = C2/m
DOS at the Fermi energy = 4.4 states/eV per cell
Formation energy (no corrections) = -44.6 kcal/mol of atoms

Unit cell a=6.642 b=6.642 c=6.662 alpha=99.59 beta=99.59 gamma=120.12
Element x y z (fractional)
Li 0.000 0.000 0.000
Er 0.165 0.835 0.500
Er 0.500 0.500 0.500
Er 0.835 0.165 0.500
Tm 0.334 0.666 0.000
Tm 0.666 0.334 0.000
S 0.081 0.409 0.245
S 0.245 0.245 0.758
S 0.409 0.081 0.245
S 0.591 0.919 0.755
S 0.755 0.755 0.242
S 0.919 0.591 0.755

=====

6.
First-principles (PBE) data for a relaxed RbCuRu2 crystal, as listed in Alexandria.

Output
E_form = 661.8 kJ/mol of formula units
ρ = 8.15 g/cm3
Offset from the most stable computed form = 0.424 eV/atom
Space-group type = Fm-3m
DOS at the Fermi energy = 3.7 states/eV per cell

Unit cell a=4.659 b=4.659 c=4.659 alpha=60.00 beta=60.00 gamma=60.00
Element x y z (fractional)
Rb 0.000 0.000 0.000
Cu 0.500 0.500 0.500
Ru 0.250 0.250 0.250
Ru 0.750 0.750 0.750

=====

What did the second record say?
First-principles (PBE) data for a relaxed Tm2Ga2Co5Ge crystal, as listed in Alexandria.

Output
E_form = -261.9 kJ/mol of formula units
ρ = 9.64 g/cm3
Space-group type = P4/mbm
DOS at the Fermi energy = 10.6 states/eV per cell

Unit cell a=9.377 b=9.377 c=3.308 alpha=90.00 beta=90.00 gamma=90.00
Element x y z (fractional)
Tm 0.173 0.327 0.000
Tm 0.327 0.827 0.000
Tm 0.673 0.173 0.000
Tm 0.827 0.673 0.000
Ga 0.125 0.625 0.000
Ga 0.375 0.125 0.000
Ga 0.625 0.875 0.000
Ga 0.875 0.375 0.000
Co 0.000 0.500 0.500
Co 0.062 0.801 0.500
Co 0.199 0.062 0.500
Co 0.301 0.562 0.500
Co 0.438 0.301 0.500
Co 0.500 0.000 0.500
Co 0.562 0.699 0.500
Co 0.699 0.438 0.500
Co 0.801 0.938 0.500
Co 0.938 0.199 0.500
Ge 0.000 0.000 0.000
Ge 0.500 0.500 0.000

=====

Q: Which value of DOS at the Fermi energy does entry 4 give?
A: 7.1 states/eV per cell